Pu2SbI, optimized geometry, DFT PBE; spin magnetization = 2.993 μB/atom; density of states at the Fermi level = 3.651 states/eV per atom; ΔE_f (raw) = -2.51 eV per formula unit; E = -9.21 eV per atom
1.0
3.835 0.000 0.000
0.000 3.835 0.000
0.000 0.000 7.766
Pu Sb I
2 1 1
Cartesian
0.000 0.000 1.721
0.000 0.000 6.045
1.918 1.918 0.000
1.918 1.918 3.883

=====

AlSe, optimized geometry, DFT PBE; spin magnetization = 0.000 μB/atom; density of states at the Fermi level = 0.253 states/eV per atom; ΔE_f (raw) = -0.80 eV per formula unit; E = -4.01 eV per atom
1.0
4.147 0.000 0.000
-2.074 3.592 0.000
0.000 0.000 22.368
Al Se
6 6
Cartesian
0.000 0.000 4.559
0.000 0.000 17.809
0.000 2.394 0.841
0.000 2.394 12.158
2.074 1.197 10.211
2.074 1.197 21.527
0.000 0.000 2.159
0.000 0.000 20.210
0.000 2.394 5.452
0.000 2.394 9.644
2.074 1.197 12.725
2.074 1.197 16.917

=====

Which of these has the lowest E? Pu2SbI